1.
Compound: RbCaGaTe3
Source: the Alexandria database
Functional: GGA-PBE
Structure: relaxed

Properties
SG: P2_1/m
Crystal system: monoclinic
E_form (uncorrected): -0.92 eV/atom
Total moment: 0.0 μB per cell

abc: 4.4707 10.0110 11.1405
angles: 109.69 90.00 90.00
Closest atoms and distances in Å follow each position.
Sites, in units of the cell vectors:
Ca: 0.2500 0.6682 0.1122  5 Te 3.12-3.25
Rb: 0.7500 0.7628 0.7557  4 Te 3.59-3.78
Ga: 0.7500 0.9202 0.3753  4 Te 2.58-2.77
Ga: 0.2500 0.0798 0.6247  4 Te 2.58-2.77
Te: 0.7500 0.1932 0.5476  3 Ga 2.76-2.77
Te: 0.7500 0.4872 0.1818  3 Ca 3.12-3.13
Te: 0.7500 0.9133 0.1420  1 Ga 2.58
Te: 0.2500 0.8068 0.4524  3 Ga 2.76-2.77
Rb: 0.2500 0.2372 0.2443  4 Te 3.59-3.78
Ca: 0.7500 0.3318 0.8878  5 Te 3.12-3.25
Te: 0.2500 0.5128 0.8182  3 Ca 3.12-3.13
Te: 0.2500 0.0867 0.8580  1 Ga 2.58

---

2.
Compound: ErPu5S6
Source: the Alexandria database
Functional: GGA-PBE
Structure: relaxed

Properties
SG: C2/m
Crystal system: monoclinic
E_form (uncorrected): -1.80 eV/atom
Total moment: 28.3 μB per cell

abc: 6.8354 6.8353 6.8343
angles: 60.00 80.40 70.53
Closest atoms and distances in Å follow each position.
Sites, in units of the cell vectors:
S: 0.7523 0.4132 0.6693  1 Er 2.77, 5 Pu 2.79-2.81
Pu: 0.0000 0.6665 0.6670  6 S 2.79
S: 0.7510 0.7525 0.0000  1 Er 2.77, 5 Pu 2.79-2.81
S: 0.7523 0.0825 0.3307  1 Er 2.77, 5 Pu 2.79-2.81
S: 0.2490 0.2475 0.0000  1 Er 2.77, 5 Pu 2.79-2.81
Pu: 0.5000 0.8326 0.3348  6 S 2.79-2.81
Pu: 0.5000 0.1674 0.6652  6 S 2.79-2.81
Er: 0.0000 0.0000 0.0000  6 S 2.77
Pu: 0.5000 0.5000 0.0000  6 S 2.79-2.81
Pu: 0.0000 0.3335 0.3330  6 S 2.79
S: 0.2477 0.9175 0.6693  1 Er 2.77, 5 Pu 2.79-2.81
S: 0.2477 0.5868 0.3307  1 Er 2.77, 5 Pu 2.79-2.81

---

3.
Compound: CaMoSe2
Source: the Alexandria database
Functional: GGA-PBE
Structure: relaxed

Properties
SG: F-43m
Crystal system: cubic
E_form (uncorrected): 0.32 eV/atom
Total moment: 4.0 μB per cell

abc: 5.0230 5.0230 5.0230
angles: 60.00 60.00 60.00
Closest atoms and distances in Å follow each position.
Sites, in units of the cell vectors:
Ca: 0.5000 0.5000 0.5000  4 Se 3.08, 4 Mo 3.08
Se: 0.2500 0.2500 0.2500  4 Se 3.08, 4 Ca 3.08
Mo: 0.7500 0.7500 0.7500  4 Ca 3.08, 4 Se 3.08
Se: 0.0000 0.0000 0.0000  4 Mo 3.08, 4 Se 3.08

---

4.
Compound: SrLiMgHg2
Source: the Alexandria database
Functional: GGA-PBE
Structure: relaxed

Properties
Formation energy: -195 meV per atom
SG: P4/mmm
Crystal system: tetragonal
Total moment: 0.0 μB per cell

abc: 5.1110 5.1110 4.9871
angles: 90.00 90.00 90.00
Closest atoms and distances in Å follow each position.
Sites, in units of the cell vectors:
Hg: 0.0000 0.5000 0.0000  2 Li 2.56
Hg: 0.5000 0.0000 0.0000  2 Li 2.56
Li: 0.0000 0.0000 0.0000  2 Mg 2.49, 4 Hg 2.56
Sr: 0.5000 0.5000 0.5000  8 Hg 3.57, 4 Mg 3.61
Mg: 0.0000 0.0000 0.5000  2 Li 2.49

---

5.
Compound: PaIn2Bi
Source: the Alexandria database
Functional: GGA-PBE
Structure: relaxed

Properties
Formation energy: -80 meV per atom
SG: C2/m
Crystal system: monoclinic
Total moment: 0.0 μB per cell

abc: 4.4524 4.4535 6.2230
angles: 110.63 110.96 90.00
Closest atoms and distances in Å follow each position.
Sites, in units of the cell vectors:
In: 0.7501 0.2498 0.5002  4 In 3.15, 4 Pa 3.48-3.50, 4 Bi 3.48-3.50
In: 0.2499 0.7502 0.4998  4 In 3.15, 4 Pa 3.48-3.50, 4 Bi 3.48-3.50
Bi: 0.5000 0.5000 0.0000  4 Pa 3.15, 8 In 3.48-3.50
Pa: 0.0000 0.0000 0.0000  4 Bi 3.15, 8 In 3.48-3.50

---

6.
Compound: LiCa2Hg3
Source: the Alexandria database
Functional: GGA-PBE
Structure: relaxed

Properties
Formation energy: -452 meV per atom
SG: P-3m1
Crystal system: trigonal
Total moment: 0.0 μB per cell

abc: 5.2325 5.2325 12.6721
angles: 90.00 90.00 120.00
Closest atoms and distances in Å follow each position.
Sites, in units of the cell vectors:
Hg: 0.3333 0.6667 0.9095  1 Li 3.04, 7 Ca 3.21-3.38
Li: 0.6667 0.3333 0.3304  8 Hg 3.04-3.25
Li: 0.3333 0.6667 0.6696  8 Hg 3.04-3.25
Ca: 0.3333 0.6667 0.1764  8 Hg 3.15-3.38
Hg: 0.0000 0.0000 0.2556  5 Ca 3.10-3.24, 3 Li 3.17
Ca: 0.0000 0.0000 0.0000  8 Hg 3.23-3.24
Ca: 0.6667 0.3333 0.8236  8 Hg 3.15-3.38
Hg: 0.3333 0.6667 0.4246  4 Li 3.10-3.25, 4 Ca 3.15-3.17
Hg: 0.0000 0.0000 0.7444  5 Ca 3.10-3.24, 3 Li 3.17
Hg: 0.6667 0.3333 0.0905  1 Li 3.04, 7 Ca 3.21-3.38
Ca: 0.0000 0.0000 0.5000  8 Hg 3.10-3.17
Hg: 0.6667 0.3333 0.5754  4 Li 3.10-3.25, 4 Ca 3.15-3.17